Run one
{
  "formula": "Fe5Co3",
  "functional": "GGA-PBEsol",
  "state": "optimized geometry",
  "total_magnetization_mub_per_cell": 16.8,
  "dos_at_fermi_per_ev_cell": 8.7,
  "space_group": "No. 123",
  "lattice_angstrom": [[2.778, 0.000, 0.000], [0.000, 2.778, 0.000], [0.000, 0.000, 11.207]],
  "species": ["Co", "Co", "Co", "Fe", "Fe", "Fe", "Fe", "Fe"],
  "frac_coords": [[0.000, 0.000, 0.874], [0.500, 0.500, 0.000], [0.000, 0.000, 0.126], [0.500, 0.500, 0.249], [0.000, 0.000, 0.375], [0.500, 0.500, 0.500], [0.000, 0.000, 0.625], [0.500, 0.500, 0.751]]
}



Run two
{
  "formula": "Fe5Co3",
  "functional": "GGA-PBEsol",
  "state": "optimized geometry",
  "total_magnetization_mub_per_cell": 17.6,
  "dos_at_fermi_per_ev_cell": 7.2,
  "space_group": "No. 3",
  "lattice_angstrom": [[-0.157, -1.405, 1.964], [1.305, -3.146, -3.123], [7.584, 1.487, 1.671]],
  "species": ["Co", "Co", "Co", "Fe", "Fe", "Fe", "Fe", "Fe"],
  "frac_coords": [[0.258, 0.251, 0.000], [0.000, 0.500, 0.250], [0.742, 0.749, 0.000], [0.753, 0.750, 0.499], [0.500, 0.000, 0.752], [0.500, 0.000, 0.247], [0.247, 0.250, 0.499], [0.000, 0.500, 0.751]]
}



Stability summary - winner: run two; margin: 9 meV per atom.